Mn2AlOs: optimized geometry, PBE-GGA.

Calculated values
As for the total energy: -8.47 eV/atom. For the density, the calculation gives 10.7 g/cm³. The magnetic moment is 3.093 μB per formula unit. For the density of states at the Fermi level, the calculation gives 0.666 states/eV per atom. The formation energy from the elements comes out at -140.4 meV/atom.

```
data_Mn2AlOs
_chemical_formula_sum 'Mn4 Al2 Os2'
_space_group_name_H-M_alt 'I -4 m 2'
_space_group_IT_number 119
_space_group_name_Hall 'I -4 -2'
_cell_length_a 4.1681
_cell_length_b 4.1681
_cell_length_c 5.8592
_cell_angle_alpha 90.00
_cell_angle_beta 90.00
_cell_angle_gamma 90.00
loop_
_atom_site_label
_atom_site_type_symbol
_atom_site_fract_x
_atom_site_fract_y
_atom_site_fract_z
Mn1 Mn 0.0000 0.0000 0.0000
Mn2 Mn 0.0000 0.5000 0.2500
Al1 Al 0.0000 0.5000 0.7500
Os1 Os 0.0000 0.0000 0.5000
```

***

MnAl2Os: optimized geometry, PBE-GGA.

Calculated values
As for the total energy: -7.09 eV/atom. For the density, the calculation gives 9.0 g/cm³. The magnetic moment is 2.151 μB per formula unit. For the density of states at the Fermi level, the calculation gives 0.819 states/eV per atom. The formation energy from the elements comes out at -119.4 meV/atom.

```
data_MnAl2Os
_chemical_formula_sum 'Mn2 Al4 Os2'
_space_group_name_H-M_alt 'C 1 2/m 1'
_space_group_IT_number 12
_cell_length_a 5.3537
_cell_length_b 8.2292
_cell_length_c 2.7285
_cell_angle_alpha 90.00
_cell_angle_beta 112.59
_cell_angle_gamma 90.00
loop_
_space_group_symop_operation_xyz
'x,y,z'
'-x,-y,-z'
'-x,y,-z'
'x,-y,z'
'x+1/2,y+1/2,z'
'-x+1/2,-y+1/2,-z'
'-x+1/2,y+1/2,-z'
'x+1/2,-y+1/2,z'
loop_
_atom_site_label
_atom_site_type_symbol
_atom_site_fract_x
_atom_site_fract_y
_atom_site_fract_z
Mn1 Mn 0.0000 0.0000 0.0000
Al1 Al 0.2500 0.2500 0.5000
Os1 Os 0.0000 0.5000 0.0000
```